# YMnSbO2

A geometry-optimized YMnSbO2 structure (PBE+U, Alexandria).

Unit cell a=3.9892 b=3.9892 c=7.3531 alpha=90.00 beta=90.00 gamma=90.00
Space group P4/mmm (No. 123)
Unique sites:
Y1 0.0000 0.0000 0.0000 (multiplicity 1)
Mn1 0.0000 0.0000 0.5000 (multiplicity 1)
Sb1 0.5000 0.5000 0.0000 (multiplicity 1)
O1 0.0000 0.5000 0.5000 (multiplicity 2)

Computed properties:
Fermi-level density of states in states/eV/f.u.: 2.76
Theoretical density in g/cm³: 4.2
Calculated total energy in eV per atom: -6.058